[1]
SrPb2Se | PBE-GGA | relaxed

a = 9.2593 Å, b = 5.1918 Å, c = 6.6554 Å
α = 90.00°, β = 118.55°, γ = 90.00°
Positions (direct):
Sr  0.0000  0.0000  0.0000
Sr  0.5000  0.5000  0.0000
Pb  0.2078  0.0000  0.6205
Pb  0.4823  0.0000  0.4594
Pb  0.7078  0.5000  0.6205
Pb  0.9823  0.5000  0.4594
Se  0.1564  0.5000  0.9568
Se  0.6564  0.0000  0.9568

Output
Crystal system: monoclinic
Final energy, eV per atom: -3.752
Formation energy from raw total energies, eV/atom: -0.6059
Symmetry: Cm, No. 8

[2]
DyY8Al2 | PBE-GGA | relaxed

a = 8.5117 Å, b = 8.5117 Å, c = 5.6185 Å
α = 101.24°, β = 101.24°, γ = 117.33°
Positions (direct):
Dy  0.0000  0.0000  0.0000
Y  0.0859  0.3249  0.6066
Y  0.2266  0.7734  0.0000
Y  0.3249  0.0859  0.6066
Y  0.4025  0.4025  0.2035
Y  0.5975  0.5975  0.7965
Y  0.6751  0.9141  0.3934
Y  0.7734  0.2266  0.0000
Y  0.9141  0.6751  0.3934
Al  0.3079  0.6921  0.5000
Al  0.6921  0.3079  0.5000

Output
Crystal system: monoclinic
Offset from the most stable computed form, meV/atom: 111
Final energy, eV per atom: -5.808
Formation energy from the elements, meV/atom: -8
Symmetry: C2/m, No. 12

[3]
Pm3PuN6 | PBE-GGA | relaxed

a = 6.8902 Å, b = 6.8902 Å, c = 6.8902 Å
α = 91.51°, β = 91.51°, γ = 91.51°
Positions (direct):
Pm  0.0549  0.7514  0.5598
Pm  0.2486  0.4402  0.9451
Pm  0.4402  0.9451  0.2486
Pm  0.5598  0.0549  0.7514
Pm  0.7514  0.5598  0.0549
Pm  0.9451  0.2486  0.4402
Pu  0.0000  0.0000  0.0000
Pu  0.5000  0.5000  0.5000
N  0.0392  0.7148  0.9165
N  0.0835  0.9608  0.2852
N  0.2149  0.4413  0.5746
N  0.2852  0.0835  0.9608
N  0.4254  0.7851  0.5587
N  0.4413  0.5746  0.2149
N  0.5587  0.4254  0.7851
N  0.5746  0.2149  0.4413
N  0.7148  0.9165  0.0392
N  0.7851  0.5587  0.4254
N  0.9165  0.0392  0.7148
N  0.9608  0.2852  0.0835

Output
Crystal system: trigonal
Final energy, eV per atom: -8.793
Formation energy from raw total energies, eV/atom: -0.9390
Symmetry: R-3, No. 148

[4]
AcTbHo2 | PBE-GGA | relaxed

a = 8.2224 Å, b = 8.2224 Å, c = 8.2224 Å
α = 90.00°, β = 90.00°, γ = 90.00°
Positions (direct):
Ac  0.0000  0.0000  0.0000
Ac  0.0000  0.5000  0.5000
Ac  0.5000  0.0000  0.5000
Ac  0.5000  0.5000  0.0000
Tb  0.0000  0.0000  0.5000
Tb  0.0000  0.5000  0.0000
Tb  0.5000  0.0000  0.0000
Tb  0.5000  0.5000  0.5000
Ho  0.2500  0.2500  0.2500
Ho  0.2500  0.2500  0.7500
Ho  0.2500  0.7500  0.2500
Ho  0.2500  0.7500  0.7500
Ho  0.7500  0.2500  0.2500
Ho  0.7500  0.2500  0.7500
Ho  0.7500  0.7500  0.2500
Ho  0.7500  0.7500  0.7500

Output
Crystal system: cubic
Offset from the most stable computed form, meV/atom: 81
Final energy, eV per atom: -4.344
Formation energy from the elements, meV/atom: 129
Symmetry: Fm-3m, No. 225

[5]
AsIrRh2 | PBE-GGA | relaxed

a = 3.9030 Å, b = 2.8665 Å, c = 10.5681 Å
α = 90.00°, β = 90.00°, γ = 90.00°
Positions (direct):
As  0.0000  0.0000  0.0000
As  0.0000  0.5000  0.5000
Ir  0.5000  0.0000  0.1462
Ir  0.5000  0.5000  0.6462
Rh  0.0000  0.0000  0.7676
Rh  0.0000  0.5000  0.2676
Rh  0.5000  0.0000  0.4102
Rh  0.5000  0.5000  0.9102

Output
Crystal system: orthorhombic
Final energy, eV per atom: -7.095
Formation energy from the elements, meV/atom: -42
Symmetry: Amm2, No. 38

[6]
AcNdHo2Tm | PBE-GGA | relaxed

a = 9.3976 Å, b = 9.3976 Å, c = 6.4480 Å
α = 90.00°, β = 90.00°, γ = 139.85°
Positions (direct):
Ac  0.1588  0.8412  0.7500
Ac  0.8412  0.1588  0.2500
Nd  0.3470  0.6530  0.7500
Nd  0.6530  0.3470  0.2500
Ho  0.2516  0.2516  0.0000
Ho  0.2516  0.2516  0.5000
Ho  0.7484  0.7484  0.0000
Ho  0.7484  0.7484  0.5000
Tm  0.2489  0.7511  0.2500
Tm  0.7511  0.2489  0.7500

Output
Crystal system: orthorhombic
Final energy, eV per atom: -4.107
Formation energy from the elements, meV/atom: 393
Symmetry: Cmcm, No. 63